Entry 1:
Compound: Pr3SmTh4S8
Source: Alexandria
Functional: PBE-GGA
Structure: relaxed

Cell lengths 8.064, 8.172, 8.062 Å; angles 119.54, 120.01, 90.00 degrees
Atoms (fractional coordinates):
Pr (0.500, 0.500, 0.000)
Pr (0.500, 0.500, 0.500)
Pr (0.000, 0.500, 0.500)
Sm (0.000, 0.500, 0.000)
Th (0.500, 0.000, 0.000)
Th (0.500, 0.000, 0.500)
Th (0.000, 0.000, 0.000)
Th (0.000, 0.000, 0.500)
S (0.248, 0.750, 0.002)
S (0.248, 0.750, 0.496)
S (0.249, 0.247, 0.498)
S (0.754, 0.750, 0.002)
S (0.246, 0.250, 0.998)
S (0.751, 0.753, 0.502)
S (0.752, 0.250, 0.504)
S (0.752, 0.250, 0.998)

- formation energy from raw total energies (meV per atom) = -1925
- VASP energy (eV for the cell shown) = -112.5
- total magnetization (μB per formula unit) = 0.0

---

Entry 2:
Compound: Pr4SmTh3S8
Source: Alexandria
Functional: PBE-GGA
Structure: relaxed

Cell lengths 8.112, 8.157, 8.112 Å; angles 119.81, 120.00, 90.00 degrees
Atoms (fractional coordinates):
Pr (0.500, 0.000, 0.000)
Pr (0.500, 0.000, 0.500)
Pr (0.000, 0.000, 0.000)
Pr (0.000, 0.000, 0.500)
Sm (0.000, 0.500, 0.000)
Th (0.500, 0.500, 0.000)
Th (0.500, 0.500, 0.500)
Th (0.000, 0.500, 0.500)
S (0.247, 0.744, 0.997)
S (0.247, 0.744, 0.494)
S (0.251, 0.253, 0.502)
S (0.750, 0.744, 0.997)
S (0.250, 0.256, 0.003)
S (0.749, 0.747, 0.498)
S (0.753, 0.256, 0.506)
S (0.753, 0.256, 0.003)

- formation energy from raw total energies (meV per atom) = -1949
- VASP energy (eV for the cell shown) = -110.3
- total magnetization (μB per formula unit) = 0.0

---

Entry 3:
Compound: PrSmTh2S4
Source: Alexandria
Functional: PBE-GGA
Structure: relaxed

Cell lengths 4.059, 6.957, 7.044 Å; angles 109.43, 90.00, 90.00 degrees
Atoms (fractional coordinates):
Pr (0.000, 0.000, 0.000)
Sm (0.500, 0.500, 0.000)
Th (0.500, 0.000, 0.500)
Th (0.000, 0.500, 0.500)
S (0.500, 0.254, 0.250)
S (0.500, 0.746, 0.750)
S (0.000, 0.254, 0.752)
S (0.000, 0.746, 0.248)

- formation energy from raw total energies (meV per atom) = -1918
- VASP energy (eV for the cell shown) = -56.2
- total magnetization (μB per formula unit) = 0.0

---

Entry 4:
Compound: PrSm3Th2S6
Source: Alexandria
Functional: PBE-GGA
Structure: relaxed

Cell lengths 6.953, 6.953, 7.036 Å; angles 99.50, 99.50, 119.83 degrees
Atoms (fractional coordinates):
Pr (0.000, 0.000, 0.000)
Sm (0.163, 0.837, 0.500)
Sm (0.837, 0.163, 0.500)
Sm (0.500, 0.500, 0.500)
Th (0.333, 0.667, 0.000)
Th (0.667, 0.333, 0.000)
S (0.914, 0.577, 0.743)
S (0.747, 0.747, 0.253)
S (0.086, 0.423, 0.257)
S (0.577, 0.914, 0.743)
S (0.253, 0.253, 0.747)
S (0.423, 0.086, 0.257)

- formation energy from raw total energies (meV per atom) = -1951
- VASP energy (eV for the cell shown) = -81.9
- total magnetization (μB per formula unit) = 0.0

---

Entry 5:
Compound: PrSm2Tl3S6
Source: Alexandria
Functional: PBE-GGA
Structure: relaxed

Cell lengths 7.200, 7.200, 7.877 Å; angles 98.77, 98.77, 119.99 degrees
Atoms (fractional coordinates):
Pr (0.000, 0.000, 0.000)
Sm (0.333, 0.667, 0.000)
Sm (0.667, 0.333, 0.000)
Tl (0.166, 0.834, 0.500)
Tl (0.834, 0.166, 0.500)
Tl (0.500, 0.500, 0.500)
S (0.932, 0.594, 0.796)
S (0.729, 0.729, 0.202)
S (0.068, 0.406, 0.204)
S (0.594, 0.932, 0.796)
S (0.271, 0.271, 0.798)
S (0.406, 0.068, 0.204)

- formation energy from raw total energies (meV per atom) = -1460
- VASP energy (eV for the cell shown) = -63.6
- total magnetization (μB per formula unit) = 0.0

---

Entry 6:
Compound: Pr2SmTl3S6
Source: Alexandria
Functional: PBE-GGA
Structure: relaxed

Cell lengths 7.252, 7.252, 7.877 Å; angles 98.83, 98.83, 119.99 degrees
Atoms (fractional coordinates):
Pr (0.333, 0.667, 0.000)
Pr (0.667, 0.333, 0.000)
Sm (0.000, 0.000, 0.000)
Tl (0.167, 0.833, 0.500)
Tl (0.833, 0.167, 0.500)
Tl (0.500, 0.500, 0.500)
S (0.932, 0.604, 0.796)
S (0.740, 0.740, 0.205)
S (0.068, 0.396, 0.204)
S (0.604, 0.932, 0.796)
S (0.260, 0.260, 0.795)
S (0.396, 0.068, 0.204)

- formation energy from raw total energies (meV per atom) = -1452
- VASP energy (eV for the cell shown) = -63.6
- total magnetization (μB per formula unit) = 0.0

---

Entry 7:
Compound: Pr3SmTl4S8
Source: Alexandria
Functional: PBE-GGA
Structure: relaxed

Cell lengths 8.388, 8.926, 8.389 Å; angles 118.04, 120.00, 90.00 degrees
Atoms (fractional coordinates):
Pr (0.500, 0.500, 0.000)
Pr (0.500, 0.500, 0.500)
Pr (0.000, 0.500, 0.500)
Sm (0.000, 0.500, 0.000)
Tl (0.500, 0.000, 0.000)
Tl (0.500, 0.000, 0.500)
Tl (0.000, 0.000, 0.000)
Tl (0.000, 0.000, 0.500)
S (0.233, 0.704, 0.972)
S (0.233, 0.704, 0.465)
S (0.265, 0.294, 0.529)
S (0.739, 0.704, 0.972)
S (0.261, 0.296, 0.028)
S (0.735, 0.706, 0.471)
S (0.767, 0.296, 0.535)
S (0.767, 0.296, 0.028)

- formation energy from raw total energies (meV per atom) = -1450
- VASP energy (eV for the cell shown) = -84.7
- total magnetization (μB per formula unit) = 0.0

---

Entry 8:
Compound: PrSmTl2S4
Source: Alexandria
Functional: PBE-GGA
Structure: relaxed

Cell lengths 4.172, 7.227, 7.876 Å; angles 107.79, 90.00, 90.00 degrees
Atoms (fractional coordinates):
Pr (0.500, 0.500, 0.000)
Sm (0.000, 0.000, 0.000)
Tl (0.500, 0.000, 0.500)
Tl (0.000, 0.500, 0.500)
S (0.500, 0.230, 0.203)
S (0.500, 0.770, 0.797)
S (0.000, 0.261, 0.795)
S (0.000, 0.739, 0.205)

- formation energy from raw total energies (meV per atom) = -1455
- VASP energy (eV for the cell shown) = -42.4
- total magnetization (μB per formula unit) = 0.0

---

Entry 9:
Compound: PrSmTm2S6
Source: Alexandria
Functional: PBE-GGA
Structure: relaxed

Cell lengths 6.998, 6.998, 7.355 Å; angles 61.59, 61.59, 60.00 degrees
Atoms (fractional coordinates):
Pr (0.808, 0.808, 0.577)
Sm (0.311, 0.311, 0.066)
Tm (0.516, 0.516, 0.452)
Tm (0.014, 0.014, 0.958)
S (0.630, 0.229, 0.243)
S (0.229, 0.898, 0.243)
S (0.898, 0.630, 0.243)
S (0.388, 0.729, 0.744)
S (0.729, 0.140, 0.744)
S (0.140, 0.388, 0.744)

- formation energy from raw total energies (meV per atom) = -2039
- VASP energy (eV for the cell shown) = -63.6
- total magnetization (μB per formula unit) = 0.0

---

Entry 10:
Compound: PrSm4TmS8
Source: Alexandria
Functional: PBE-GGA
Structure: relaxed

Cell lengths 8.213, 8.213, 8.229 Å; angles 60.07, 60.07, 60.00 degrees
Atoms (fractional coordinates):
Pr (0.001, 0.001, 0.996)
Sm (0.625, 0.625, 0.124)
Sm (0.001, 0.496, 0.502)
Sm (0.496, 0.001, 0.502)
Sm (0.001, 0.001, 0.502)
Tm (0.375, 0.375, 0.876)
S (0.250, 0.759, 0.741)
S (0.759, 0.250, 0.741)
S (0.250, 0.250, 0.741)
S (0.246, 0.246, 0.262)
S (0.755, 0.228, 0.263)
S (0.228, 0.755, 0.263)
S (0.755, 0.755, 0.263)
S (0.758, 0.758, 0.725)

- formation energy from raw total energies (meV per atom) = -1912
- VASP energy (eV for the cell shown) = -87.9
- total magnetization (μB per formula unit) = 0.0

---

Entry 11:
Compound: Pr4Sm3TmS8
Source: Alexandria
Functional: PBE-GGA
Structure: relaxed

Cell lengths 8.043, 8.115, 8.043 Å; angles 119.71, 120.00, 90.00 degrees
Atoms (fractional coordinates):
Pr (0.500, 0.000, 0.000)
Pr (0.500, 0.000, 0.500)
Pr (0.000, 0.000, 0.000)
Pr (0.000, 0.000, 0.500)
Sm (0.500, 0.500, 0.000)
Sm (0.500, 0.500, 0.500)
Sm (0.000, 0.500, 0.500)
Tm (0.000, 0.500, 0.000)
S (0.241, 0.735, 0.994)
S (0.241, 0.735, 0.481)
S (0.253, 0.259, 0.506)
S (0.753, 0.735, 0.994)
S (0.247, 0.265, 0.006)
S (0.747, 0.741, 0.494)
S (0.759, 0.265, 0.519)
S (0.759, 0.265, 0.006)

- formation energy from raw total energies (meV per atom) = -2008
- VASP energy (eV for the cell shown) = -102.9
- total magnetization (μB per formula unit) = 0.0

---

Entry 12:
Compound: Pr2SmTmS4
Source: Alexandria
Functional: PBE-GGA
Structure: relaxed

Cell lengths 3.954, 6.926, 7.074 Å; angles 108.67, 90.00, 90.00 degrees
Atoms (fractional coordinates):
Pr (0.500, 0.000, 0.500)
Pr (0.000, 0.500, 0.500)
Sm (0.500, 0.500, 0.000)
Tm (0.000, 0.000, 0.000)
S (0.500, 0.235, 0.229)
S (0.500, 0.765, 0.771)
S (0.000, 0.247, 0.765)
S (0.000, 0.753, 0.235)

- formation energy from raw total energies (meV per atom) = -2000
- VASP energy (eV for the cell shown) = -51.3
- total magnetization (μB per formula unit) = 0.0

---

Which value of formation energy from raw total energies does entry 12 give?
-2000 meV per atom

---

Among the records above, which one has the lowest formation energy from raw total energies?
PrSmTm2S6

---

Copy entry 7 word for word.
Compound: Pr3SmTl4S8
Source: Alexandria
Functional: PBE-GGA
Structure: relaxed

Cell lengths 8.388, 8.926, 8.389 Å; angles 118.04, 120.00, 90.00 degrees
Atoms (fractional coordinates):
Pr (0.500, 0.500, 0.000)
Pr (0.500, 0.500, 0.500)
Pr (0.000, 0.500, 0.500)
Sm (0.000, 0.500, 0.000)
Tl (0.500, 0.000, 0.000)
Tl (0.500, 0.000, 0.500)
Tl (0.000, 0.000, 0.000)
Tl (0.000, 0.000, 0.500)
S (0.233, 0.704, 0.972)
S (0.233, 0.704, 0.465)
S (0.265, 0.294, 0.529)
S (0.739, 0.704, 0.972)
S (0.261, 0.296, 0.028)
S (0.735, 0.706, 0.471)
S (0.767, 0.296, 0.535)
S (0.767, 0.296, 0.028)

- formation energy from raw total energies (meV per atom) = -1450
- VASP energy (eV for the cell shown) = -84.7
- total magnetization (μB per formula unit) = 0.0